*P*
Here is a relaxed MnMoIr crystal from Alexandria. Energies are from GGA-PBE.

Cell lengths 6.1351, 6.1351, 6.1351 Å; angles 154.48, 154.48, 36.41 degrees
Closest atoms and distances in Å follow each position.
Sites, in units of the cell vectors:
Mn (0.0000, 0.0000, 0.0000)  4 Ir 2.66, 4 Mn 2.71, 4 Mo 2.77
Mo (0.3285, 0.3285, 0.0000)  4 Mo 2.71, 4 Ir 2.75, 4 Mn 2.77
Ir (0.6588, 0.6588, 0.0000)  4 Mn 2.66, 4 Ir 2.71, 4 Mo 2.75

Its density of states at the Fermi level is 0.8698 states/eV per atom. For the volume, the calculation gives 43 Å³/cell. As for the space group: I4mm, No. 107.

=====

*Q*
Here is a relaxed MnMoIr crystal from Alexandria. Energies are from GGA-PBE.

Cell lengths 4.2218, 4.2218, 4.2218 Å; angles 60.00, 60.00, 60.00 degrees
Closest atoms and distances in Å follow each position.
Sites, in units of the cell vectors:
Mn (0.0000, 0.0000, 0.0000)  4 Ir 2.59
Mo (0.5000, 0.5000, 0.5000)  4 Ir 2.59
Ir (0.7500, 0.7500, 0.7500)  4 Mo 2.59, 4 Mn 2.59

Its density of states at the Fermi level is 1.3945 states/eV per atom. For the volume, the calculation gives 53 Å³/cell. As for the space group: F-43m, No. 216.

=====

*P* (433 meV/atom below the next structure)

=====

*P*
Here is a relaxed Mn2MoIr2 crystal from Alexandria. Energies are from GGA-PBE.

Cell lengths 7.2063, 7.2063, 2.6611 Å; angles 90.00, 90.00, 90.00 degrees
Closest atoms and distances in Å follow each position.
Sites, in units of the cell vectors:
Mn (0.1690, 0.3310, 0.0000)  6 Ir 2.45-2.54, 2 Mn 2.66
Mn (0.3310, 0.8310, 0.0000)  6 Ir 2.45-2.54, 2 Mn 2.66
Mn (0.6690, 0.1690, 0.0000)  6 Ir 2.45-2.54, 2 Mn 2.66
Mn (0.8310, 0.6690, 0.0000)  6 Ir 2.45-2.54, 2 Mn 2.66
Mo (0.0000, 0.0000, 0.5000)  2 Mo 2.66, 4 Ir 2.83
Mo (0.5000, 0.5000, 0.5000)  2 Mo 2.66, 4 Ir 2.83
Ir (0.1286, 0.6286, 0.5000)  6 Mn 2.45-2.54, 3 Ir 2.62-2.66
Ir (0.3714, 0.1286, 0.5000)  6 Mn 2.45-2.54, 3 Ir 2.62-2.66
Ir (0.6286, 0.8714, 0.5000)  6 Mn 2.45-2.54, 3 Ir 2.62-2.66
Ir (0.8714, 0.3714, 0.5000)  6 Mn 2.45-2.54, 3 Ir 2.62-2.66

Its density of states at the Fermi level is 1.2634 states/eV per atom. For the volume, the calculation gives 138 Å³/cell. As for the space group: P4/mbm, No. 127.

=====

*Q*
Here is a relaxed Mn2MoIr2 crystal from Alexandria. Energies are from GGA-PBE.

Cell lengths 5.7121, 5.7121, 5.7121 Å; angles 141.37, 141.37, 55.77 degrees
Closest atoms and distances in Å follow each position.
Sites, in units of the cell vectors:
Mn (0.0962, 0.0962, 0.0000)  1 Mn 1.94
Mn (0.9038, 0.9038, 0.0000)  1 Mn 1.94
Mo (0.5000, 0.5000, 0.0000)  8 Mn 2.84, 8 Ir 3.15
Ir (0.2500, 0.7500, 0.5000)  4 Mn 2.45, 4 Ir 2.67
Ir (0.7500, 0.2500, 0.5000)  4 Mn 2.45, 4 Ir 2.67

Its density of states at the Fermi level is 0.8487 states/eV per atom. For the volume, the calculation gives 72 Å³/cell. As for the space group: I4/mmm, No. 139.

=====

*P* (245 meV/atom below the next structure)

=====

*P*
Here is a relaxed MnMoIr3 crystal from Alexandria. Energies are from GGA-PBE.

Cell lengths 12.1531, 4.9928, 4.9252 Å; angles 90.00, 90.00, 90.00 degrees
Closest atoms and distances in Å follow each position.
Sites, in units of the cell vectors:
Mn (0.0374, 0.2500, 0.2500)  8 Ir 2.50-2.66
Mn (0.4626, 0.7500, 0.2500)  8 Ir 2.50-2.66
Mn (0.5374, 0.2500, 0.7500)  8 Ir 2.50-2.66
Mn (0.9626, 0.7500, 0.7500)  8 Ir 2.50-2.66
Mo (0.2500, 0.0000, 0.1295)  2 Mo 2.76, 8 Ir 2.76-3.05, 2 Mn 2.93
Mo (0.2500, 0.5000, 0.3705)  2 Mo 2.76, 8 Ir 2.76-3.05, 2 Mn 2.93
Mo (0.7500, 0.0000, 0.8705)  2 Mo 2.76, 8 Ir 2.76-3.05, 2 Mn 2.93
Mo (0.7500, 0.5000, 0.6295)  2 Mo 2.76, 8 Ir 2.76-3.05, 2 Mn 2.93
Ir (0.0460, 0.7500, 0.2500)  4 Mn 2.50-2.66, 4 Ir 2.58-2.69
Ir (0.1452, 0.0073, 0.6314)  5 Ir 2.55-2.82, 2 Mn 2.59-2.63, 2 Mo 2.76-2.78
Ir (0.1452, 0.4927, 0.8686)  5 Ir 2.55-2.82, 2 Mn 2.59-2.63, 2 Mo 2.76-2.78
Ir (0.3548, 0.5073, 0.8686)  5 Ir 2.55-2.82, 2 Mn 2.59-2.63, 2 Mo 2.76-2.78
Ir (0.3548, 0.9927, 0.6314)  5 Ir 2.55-2.82, 2 Mn 2.59-2.63, 2 Mo 2.76-2.78
Ir (0.4540, 0.2500, 0.2500)  4 Mn 2.50-2.66, 4 Ir 2.58-2.69
Ir (0.5460, 0.7500, 0.7500)  4 Mn 2.50-2.66, 4 Ir 2.58-2.69
Ir (0.6452, 0.0073, 0.3686)  5 Ir 2.55-2.82, 2 Mn 2.59-2.63, 2 Mo 2.76-2.78
Ir (0.6452, 0.4927, 0.1314)  5 Ir 2.55-2.82, 2 Mn 2.59-2.63, 2 Mo 2.76-2.78
Ir (0.8548, 0.5073, 0.1314)  5 Ir 2.55-2.82, 2 Mn 2.59-2.63, 2 Mo 2.76-2.78
Ir (0.8548, 0.9927, 0.3686)  5 Ir 2.55-2.82, 2 Mn 2.59-2.63, 2 Mo 2.76-2.78
Ir (0.9540, 0.2500, 0.7500)  4 Mn 2.50-2.66, 4 Ir 2.58-2.69

Its density of states at the Fermi level is 1.2398 states/eV per atom. For the volume, the calculation gives 299 Å³/cell. As for the space group: Pnna, No. 52.

=====

*Q*
Here is a relaxed MnMoIr3 crystal from Alexandria. Energies are from GGA-PBE.

Cell lengths 4.4362, 4.4362, 4.4362 Å; angles 90.00, 90.00, 90.00 degrees
Closest atoms and distances in Å follow each position.
Sites, in units of the cell vectors:
Mn (0.0000, 0.0000, 0.0000)  6 Ir 2.22
Mo (0.5000, 0.5000, 0.5000)  12 Ir 3.14
Ir (0.0000, 0.0000, 0.5000)  2 Mn 2.22
Ir (0.0000, 0.5000, 0.0000)  2 Mn 2.22
Ir (0.5000, 0.0000, 0.0000)  2 Mn 2.22

Its density of states at the Fermi level is 1.2207 states/eV per atom. For the volume, the calculation gives 87 Å³/cell. As for the space group: Pm-3m, No. 221.

=====

*P* (1354 meV/atom below the next structure)